Entry 1:
Material: Sm3Tm7Sc
Method: DFT, PBE
State: relaxed

```
Sm3Tm7Sc
1.0
6.940 0.000 0.000
-3.470 6.010 0.000
0.000 0.000 8.502
Sm Tm Sc
3 7 1
direct
0.001 0.501 0.000
0.499 0.501 0.000
0.499 0.999 0.000
0.168 0.336 0.658
0.168 0.832 0.658
0.335 0.168 0.335
0.664 0.832 0.658
0.667 0.333 0.660
0.832 0.168 0.335
0.832 0.665 0.335
0.333 0.667 0.337
```

The energy of formation from the pure elements comes out at 2.057 eV/f.u. As for the total magnetization: 0.00 μB/atom.

***

Entry 2:
Material: Sm6Tm2Sc
Method: DFT, PBE
State: relaxed

```
Sm6Tm2Sc
1.0
3.565 0.000 0.000
-1.782 7.735 0.000
-0.022 -2.470 10.404
Sm Tm Sc
6 2 1
direct
0.162 0.325 0.390
0.164 0.327 0.718
0.165 0.331 0.056
0.835 0.669 0.944
0.836 0.673 0.282
0.838 0.675 0.610
0.499 0.999 0.168
0.501 0.001 0.832
0.500 0.000 0.500
```

The energy of formation from the pure elements comes out at 0.317 eV/f.u. As for the total magnetization: 0.00 μB/atom.

***

Entry 3:
Material: SmTm5Sc2
Method: DFT, PBE
State: relaxed

```
SmTm5Sc2
1.0
0.000 5.468 6.087
3.524 0.000 6.087
3.524 5.468 0.000
Sm Tm Sc
1 5 2
direct
0.000 0.000 0.000
0.415 0.415 0.085
0.496 0.997 0.504
0.499 0.499 0.501
0.915 0.915 0.585
0.997 0.496 0.003
0.415 0.913 0.087
0.913 0.415 0.585
```

The energy of formation from the pure elements comes out at 0.181 eV/f.u. As for the total magnetization: 0.00 μB/atom.

***

Entry 4:
Material: Sm2Tm15Sc2
Method: DFT, PBE
State: relaxed

```
Sm2Tm15Sc2
1.0
5.523 3.189 5.704
-5.523 3.189 5.704
0.000 -6.378 5.704
Sm Tm Sc
2 15 2
direct
0.175 0.175 0.175
0.825 0.825 0.825
0.000 0.500 0.500
0.138 0.138 0.644
0.138 0.644 0.138
0.205 0.500 0.795
0.205 0.795 0.500
0.356 0.862 0.862
0.500 0.000 0.500
0.500 0.205 0.795
0.500 0.500 0.000
0.500 0.795 0.205
0.644 0.138 0.138
0.795 0.205 0.500
0.795 0.500 0.205
0.862 0.356 0.862
0.862 0.862 0.356
0.407 0.407 0.407
0.593 0.593 0.593
```

The energy of formation from the pure elements comes out at 5.464 eV/f.u. As for the total magnetization: 0.14 μB/atom.

***

Entry 5:
Material: SmTm12Sc7
Method: DFT, PBE
State: relaxed

```
SmTm12Sc7
1.0
-5.418 5.418 5.418
5.418 -5.418 5.418
5.418 5.418 -5.418
Sm Tm Sc
1 12 7
direct
0.000 0.000 0.000
0.002 0.739 0.262
0.261 0.262 0.523
0.261 0.738 0.998
0.262 0.002 0.739
0.262 0.523 0.261
0.477 0.739 0.738
0.523 0.261 0.262
0.738 0.477 0.739
0.738 0.998 0.261
0.739 0.262 0.002
0.739 0.738 0.477
0.998 0.261 0.738
0.000 0.000 0.500
0.000 0.500 0.000
0.000 0.500 0.500
0.500 0.000 0.000
0.500 0.000 0.500
0.500 0.500 0.000
0.500 0.500 0.500
```

The energy of formation from the pure elements comes out at 13.852 eV/f.u. As for the total magnetization: 0.00 μB/atom.

***

Entry 6:
Material: Sm15Tm4Sc
Method: DFT, PBE
State: relaxed

```
Sm15Tm4Sc
1.0
5.072 0.000 0.000
0.000 5.072 0.000
0.000 0.000 25.272
Sm Tm Sc
15 4 1
direct
0.000 0.000 0.000
0.000 0.000 0.198
0.000 0.000 0.399
0.000 0.000 0.601
0.000 0.000 0.802
0.000 0.500 0.097
0.000 0.500 0.299
0.000 0.500 0.500
0.000 0.500 0.701
0.000 0.500 0.903
0.500 0.000 0.097
0.500 0.000 0.299
0.500 0.000 0.500
0.500 0.000 0.701
0.500 0.000 0.903
0.500 0.500 0.198
0.500 0.500 0.399
0.500 0.500 0.601
0.500 0.500 0.802
0.500 0.500 0.000
```

The energy of formation from the pure elements comes out at 0.377 eV/f.u. As for the total magnetization: 0.00 μB/atom.